# 1
The following is a GGA-PBE calculation of crystalline Ga5Ni12C2 at its relaxed geometry, from the Alexandria database.

**ρ**: 7821 kg/m3
**ΔH_f (0 K)**: -1.26 eV per formula unit

Lattice parameters (Å, degrees): 13.307 5.448 6.699 90.00 109.66 90.00
Space group C2/m (No. 12)
Unique sites:
Ga1 0.000 0.000 0.000 x2
Ga2 0.249 0.500 0.503 x4
Ga3 0.250 0.000 0.002 x4
Ni1 0.032 0.500 0.331 x4
Ni2 0.044 0.000 0.363 x4
Ni3 0.142 0.252 0.693 x8
Ni4 0.153 0.258 0.178 x8
C1 0.000 0.258 0.500 x4

***

# 2
The following is a GGA-PBE calculation of crystalline Dy5TmPb6 at its relaxed geometry, from the Alexandria database.

**ρ**: 10975 kg/m3
**ΔH_f (0 K)**: -4.99 eV per formula unit
**Energy above the most stable polymorph in this dataset**: 8 meV per atom

Lattice parameters (Å, degrees): 5.118 8.831 14.894 90.00 90.00 90.00
Space group Immm (No. 71)
Unique sites:
Dy1 0.000 0.000 0.000 x2
Dy2 0.000 0.000 0.335 x4
Dy3 0.000 0.500 0.334 x4
Tm1 0.000 0.500 0.000 x2
Pb1 0.000 0.249 0.500 x4
Pb2 0.000 0.250 0.166 x8

***

# 3
The following is a GGA-PBE calculation of crystalline La2EuAl at its relaxed geometry, from the Alexandria database.

**ρ**: 6125 kg/m3
**ΔH_f (0 K)**: -0.50 eV per formula unit
**Energy above the most stable polymorph in this dataset**: 22 meV per atom

Lattice parameters (Å, degrees): 5.052 5.052 4.852 90.00 90.00 90.00
Space group P4/mmm (No. 123)
Unique sites:
La1 0.000 0.500 0.000 x2
Eu1 0.000 0.000 0.500 x1
Al1 0.500 0.500 0.500 x1

***

# 4
The following is a GGA-PBE calculation of crystalline KLiHf2Nb at its relaxed geometry, from the Alexandria database.

**ρ**: 6969 kg/m3
**ΔH_f (0 K)**: 7.12 eV per formula unit

Lattice parameters (Å, degrees): 4.968 4.968 4.787 90.00 90.00 90.00
Space group P4/mmm (No. 123)
Unique sites:
K1 0.000 0.000 0.000 x1
Li1 0.500 0.500 0.500 x1
Hf1 0.000 0.500 0.500 x2
Nb1 0.500 0.500 0.000 x1

***

# 5
The following is a GGA-PBE calculation of crystalline Zn3SnB at its relaxed geometry, from the Alexandria database.

**ρ**: 6467 kg/m3
**ΔH_f (0 K)**: 2.05 eV per formula unit
**Energy above the most stable polymorph in this dataset**: 0 meV per atom

Lattice parameters (Å, degrees): 4.373 4.373 4.373 90.00 90.00 90.00
Space group Pm-3m (No. 221)
Unique sites:
Zn1 0.000 0.000 0.500 x3
Sn1 0.500 0.500 0.500 x1
B1 0.000 0.000 0.000 x1

***

# 6
The following is a GGA-PBE calculation of crystalline BeGeF2 at its relaxed geometry, from the Alexandria database.

**ρ**: 2677 kg/m3
**Formation energy (no corrections)**: -1563 meV per atom
**Energy above the most stable polymorph in this dataset**: 462 meV per atom

Lattice parameters (Å, degrees): 3.0030 3.0030 28.5107 90.00 90.00 120.00
Space group R-3m (No. 166, hexagonal axes)
Unique sites:
Be1 0.0000 0.0000 0.0000 x3
Ge1 0.0000 0.0000 0.5000 x3
F1 0.0000 0.0000 0.0484 x6

***

We obtain D(E_F) values of 21.800 23.958 4.787 8.179 2.257 5.883 states/eV/cell for the records listed above, in that order.